(1)
GeSe2NF meta-GGA SCAN single point on PBEsol structure; total magnetic moment = 2.717 μB/cell; ΔE_f (raw) = 1.0707 eV per atom
1.0
4.395 0.000 0.000
0.000 4.395 0.000
0.000 0.000 4.577
Ge Se N F
1 2 1 1
Cartesian
0.000 0.000 0.000
0.000 2.198 2.288
2.198 0.000 2.288
2.198 2.198 0.000
2.198 2.198 2.288

(2)
LaZn4Rh meta-GGA SCAN single point on PBEsol structure; total magnetic moment = 0.000 μB/cell; calculated formation energy = -2.5 eV/f.u.
1.0
0.000 3.658 3.658
3.658 0.000 3.658
3.658 3.658 0.000
La Zn Rh
1 4 1
Cartesian
0.000 0.000 0.000
2.759 2.759 2.759
4.557 4.557 2.759
4.557 2.759 4.557
2.759 4.557 4.557
5.487 5.487 5.487

(3)
Sr2AlAs meta-GGA SCAN single point on PBEsol structure; total magnetic moment = 0.406 μB/cell; calculated formation energy = -0.9 eV/f.u.
1.0
4.466 0.000 0.000
0.000 4.466 0.000
0.000 0.000 6.390
Sr Al As
2 1 1
Cartesian
0.000 0.000 0.000
2.233 2.233 2.641
0.000 0.000 3.336
2.233 2.233 5.736